The following is a meta-GGA SCAN calculation of a PBEsol-optimized structure of Ba2FeAg, from the Alexandria database.

Structure (CIF):
```
data_Ba2FeAg
_chemical_formula_sum 'Ba2 Fe1 Ag1'
_symmetry_space_group_name_H-M 'P m m m'
_symmetry_Int_Tables_number 47
_symmetry_space_group_name_Hall '-P 2 2'
_cell_length_a 3.859
_cell_length_b 3.870
_cell_length_c 8.029
_cell_angle_alpha 90.00
_cell_angle_beta 90.00
_cell_angle_gamma 90.00
loop_
_atom_site_label
_atom_site_fract_x
_atom_site_fract_y
_atom_site_fract_z
_atom_site_occupancy
Ba1 0.000 0.000 0.240 1
Fe1 0.500 0.500 0.000 1
Ag1 0.500 0.500 0.500 1
```

VASP energy: -127.41 eV for the cell shown
Magnetic moment: 2.2 Bohr magnetons per cell
Calculated volume: 120 Å³/cell

---

The following is a meta-GGA SCAN calculation of a PBEsol-optimized structure of Mg2Ta2CuO8, from the Alexandria database.

Structure (CIF):
```
data_Mg2Ta2CuO8
_chemical_formula_sum 'Mg8 Ta8 Cu4 O32'
_symmetry_space_group_name_H-M 'C 1 2/c 1'
_symmetry_Int_Tables_number 15
_symmetry_space_group_name_Hall '-C 2yc'
_cell_length_a 18.786
_cell_length_b 5.977
_cell_length_c 5.113
_cell_angle_alpha 90.00
_cell_angle_beta 91.56
_cell_angle_gamma 90.00
loop_
_atom_site_label
_atom_site_fract_x
_atom_site_fract_y
_atom_site_fract_z
_atom_site_occupancy
Mg1 0.227 0.143 0.245 1
Ta1 0.115 0.338 0.736 1
Cu1 0.000 0.146 0.250 1
O1 0.057 0.132 0.563 1
O2 0.071 0.387 0.071 1
O3 0.186 0.400 0.449 1
O4 0.190 0.145 0.875 1
```

Raw formation energy: -2.6985 eV per atom
VASP energy: -972.98 eV for the cell shown
Magnetic moment: 4.0 Bohr magnetons per cell
Calculated volume: 574 Å³/cell